# 1
Pr5DyMg5 | PBE | optimized geometry

The calculation puts the total energy at -3.19 eV per atom. The formation enthalpy at 0 K comes out at 133 kJ/mol of formula units.

The space group is C2/m (No. 12) and the conventional cell measures 18.374, 5.933 and 6.809 Å, with angles of 90.00, 111.67 and 90.00 degrees. The distinct sites, in fractional coordinates, are Pr at (0.000, 0.000, 0.000), Pr at (0.133, 0.500, 0.134), Pr at (0.185, 0.500, 0.686), Dy at (0.000, 0.000, 0.500), Mg at (0.000, 0.500, 0.500), Mg at (0.167, 0.000, 0.435) and Mg at (0.167, 0.000, 0.899).


# 2
Pr3DyMg2 | PBE | optimized geometry

The calculation puts the total energy at -3.75 eV per atom. The formation enthalpy at 0 K comes out at -33 kJ/mol of formula units.

The space group is P4/mmm (No. 123) and the conventional cell measures 3.828, 3.828 and 12.857 Å, with angles of 90.00, 90.00 and 90.00 degrees. The distinct sites, in fractional coordinates, are Pr at (0.000, 0.000, 0.000), Pr at (0.000, 0.000, 0.311), Dy at (0.500, 0.500, 0.500) and Mg at (0.500, 0.500, 0.155).


Among the records above, which one has the lowest total energy?
Pr3DyMg2


Look up the formation enthalpy at 0 K of the second one.
-33 kJ/mol of formula units


Please write out number 1 again, unchanged.
Pr5DyMg5 | PBE | optimized geometry

The calculation puts the total energy at -3.19 eV per atom. The formation enthalpy at 0 K comes out at 133 kJ/mol of formula units.

The space group is C2/m (No. 12) and the conventional cell measures 18.374, 5.933 and 6.809 Å, with angles of 90.00, 111.67 and 90.00 degrees. The distinct sites, in fractional coordinates, are Pr at (0.000, 0.000, 0.000), Pr at (0.133, 0.500, 0.134), Pr at (0.185, 0.500, 0.686), Dy at (0.000, 0.000, 0.500), Mg at (0.000, 0.500, 0.500), Mg at (0.167, 0.000, 0.435) and Mg at (0.167, 0.000, 0.899).